[1]
4
Lattice="3.0562 0.0000 0.0000 0.0000 3.0562 0.0000 0.0000 0.0000 6.6727" Properties=species:S:1:pos:R:3 comment="CrRe2Sb, relaxed, DFT PBE-GGA" magmom_total_mub_per_atom=0.001 formation_energy_uncorrected_kj_per_mol_fu=166 final_energy_ev_per_atom=-9.23 sg="No. 123" pbc="T T T"
Cr 0.0000 0.0000 0.0000
Re 1.5281 1.5281 1.4730
Re 1.5281 1.5281 5.1996
Sb 0.0000 0.0000 3.3363


[2]
8
Lattice="5.3308 0.0000 0.0000 0.0000 7.8971 0.0000 0.0000 0.0000 3.0274" Properties=species:S:1:pos:R:3 comment="CrRe2Sb, relaxed, DFT PBE-GGA" magmom_total_mub_per_atom=0.395 formation_energy_uncorrected_kj_per_mol_fu=244 final_energy_ev_per_atom=-9.03 sg="No. 65" pbc="T T T"
Cr 0.0000 0.0000 0.0000
Cr 2.6654 3.9485 0.0000
Re 1.3327 1.9743 1.5137
Re 1.3327 5.9228 1.5137
Re 3.9981 1.9743 1.5137
Re 3.9981 5.9228 1.5137
Sb 0.0000 3.9485 0.0000
Sb 2.6654 0.0000 0.0000


[3]
4
Lattice="3.1057 0.0000 0.0000 0.0000 4.4773 0.0000 0.0000 0.0000 4.4859" Properties=species:S:1:pos:R:3 comment="CrRe2Sb, relaxed, DFT PBE-GGA" magmom_total_mub_per_atom=0.119 formation_energy_uncorrected_kj_per_mol_fu=212 final_energy_ev_per_atom=-9.11 sg="No. 47" pbc="T T T"
Cr 0.0000 0.0000 0.0000
Re 0.0000 2.2387 2.2429
Re 1.5529 0.0000 2.2429
Sb 1.5529 2.2387 0.0000


[4]
4
Lattice="2.9485 0.0000 0.0000 0.0000 4.0347 0.0000 0.0000 0.0000 5.3342" Properties=species:S:1:pos:R:3 comment="CrRe2Sb, relaxed, DFT PBE-GGA" magmom_total_mub_per_atom=0.000 formation_energy_uncorrected_kj_per_mol_fu=173 final_energy_ev_per_atom=-9.21 sg="No. 25" pbc="T T T"
Cr 0.0000 0.0000 0.0000
Re 0.0000 0.0000 2.4021
Re 1.4742 2.0173 1.2860
Sb 1.4742 2.0173 3.9733